Entry 1:
SnOsO2F | GGA-PBE | optimized geometry

Lattice parameters (Å, degrees): 4.100 4.100 4.259 90.00 90.00 90.00
Space group P4/mmm (No. 123)
One atom of each set of equivalent atoms:
1 Sn 0.000 0.000 0.000 [1 per cell]
2 Os 0.500 0.500 0.500 [1 per cell]
3 O 0.000 0.500 0.000 [2 per cell]
4 F 0.000 0.000 0.500 [1 per cell]

VASP energy = -5.3034 eV per atom
uncorrected formation energy = 101 meV/atom
size of the total moment = 3.73 μB/cell

Entry 2:
SnOsOF2 | GGA-PBE | optimized geometry

Lattice parameters (Å, degrees): 4.595 4.595 3.709 90.00 90.00 90.00
Space group P4/mmm (No. 123)
One atom of each set of equivalent atoms:
1 Sn 0.000 0.000 0.000 [1 per cell]
2 Os 0.500 0.500 0.500 [1 per cell]
3 O 0.500 0.500 0.000 [1 per cell]
4 F 0.000 0.500 0.500 [2 per cell]

distance to the lowest polymorph of the same formula = 0 meV per atom
VASP energy = -5.4858 eV per atom
uncorrected formation energy = -699 meV/atom
size of the total moment = 0.00 μB/cell

Entry 3:
SnOsO2F | GGA-PBE | optimized geometry

Lattice parameters (Å, degrees): 3.720 3.720 6.533 90.00 90.00 90.00
Space group P4/mmm (No. 123)
One atom of each set of equivalent atoms:
1 Sn 0.000 0.000 0.000 [1 per cell]
2 Os 0.500 0.500 0.500 [1 per cell]
3 O 0.000 0.500 0.500 [2 per cell]
4 F 0.500 0.500 0.000 [1 per cell]

VASP energy = -6.2263 eV per atom
uncorrected formation energy = -822 meV/atom
size of the total moment = 0.00 μB/cell

The highest uncorrected formation energy belongs to which entry? number 1

What is the uncorrected formation energy in the third record? -822 meV/atom